# Cs2HoInO4 | Alexandria | PBE-GGA | optimized geometry
# ΔE_f (raw): -1.8125 eV per atom
# Theoretical density: 4.54 g/cm3
data_Cs2HoInO4
_chemical_formula_sum 'Cs16 Ho8 In8 O32'
_cell_length_a 5.874
_cell_length_b 13.543
_cell_length_c 22.433
_cell_angle_alpha 90.00
_cell_angle_beta 90.00
_cell_angle_gamma 90.00
_symmetry_space_group_name_H-M 'F d d d'
_symmetry_Int_Tables_number 70
loop_
_symmetry_equiv_pos_as_xyz
'x,y,z'
'-x,-y,-z'
'-x+1/4,-y+1/4,z'
'x+1/4,y+1/4,-z'
'x,-y+1/4,-z+1/4'
'-x,y+1/4,z+1/4'
'-x+1/4,y,-z+1/4'
'x+1/4,-y,z+1/4'
'x,y+1/2,z+1/2'
'-x,-y+1/2,-z+1/2'
'-x+1/4,-y+3/4,z+1/2'
'x+1/4,y+3/4,-z+1/2'
'x,-y+3/4,-z+3/4'
'-x,y+3/4,z+3/4'
'-x+1/4,y+1/2,-z+3/4'
'x+1/4,-y+1/2,z+3/4'
'x+1/2,y,z+1/2'
'-x+1/2,-y,-z+1/2'
'-x+3/4,-y+1/4,z+1/2'
'x+3/4,y+1/4,-z+1/2'
'x+1/2,-y+1/4,-z+3/4'
'-x+1/2,y+1/4,z+3/4'
'-x+3/4,y,-z+3/4'
'x+3/4,-y,z+3/4'
'x+1/2,y+1/2,z'
'-x+1/2,-y+1/2,-z'
'-x+3/4,-y+3/4,z'
'x+3/4,y+3/4,-z'
'x+1/2,-y+3/4,-z+1/4'
'-x+1/2,y+3/4,z+1/4'
'-x+3/4,y+1/2,-z+1/4'
'x+3/4,-y+1/2,z+1/4'
loop_
_atom_site_label
_atom_site_type_symbol
_atom_site_fract_x
_atom_site_fract_y
_atom_site_fract_z
Cs1 Cs 0.125 0.125 0.307
Ho1 Ho 0.125 0.125 0.125
In1 In 0.125 0.125 0.625
O1 O 0.123 0.287 0.832